A relaxed structure of Cr2SeO, computed with PBE+U.

a = 4.3664 Å, b = 4.3664 Å, c = 4.3664 Å
α = 60.00°, β = 60.00°, γ = 60.00°
Last column: nearest neighbours and their distance in Å.
Positions (direct):
Cr  0.2500  0.2500  0.2500  4 Se 2.67, 4 O 2.67
Cr  0.7500  0.7500  0.7500  4 Se 2.67, 4 O 2.67
O  0.0000  0.0000  0.0000  8 Cr 2.67
Se  0.5000  0.5000  0.5000  8 Cr 2.67

As for the mass density: 5.61 Mg/m³. Its space group is No. 225. The value obtained for the density of states at the Fermi level is 0.6 states/eV per cell. As for the total energy: -6.154 eV per atom.